1.
## La2SbN (PBE)

Data for La2SbN after structural relaxation.

Results
- Raw formation energy: -1.2258 eV/atom

```
data_La2SbN
_cell_length_a 7.324
_cell_length_b 7.324
_cell_length_c 8.289
_cell_angle_alpha 90.00
_cell_angle_beta 90.00
_cell_angle_gamma 90.00
_space_group_name_H-M_alt 'I -4 2 d'
_space_group_IT_number 122
_space_group_name_Hall 'I -4 2bw'
loop_
_atom_site_label
_atom_site_type_symbol
_atom_site_fract_x
_atom_site_fract_y
_atom_site_fract_z
La1 La 0.157 0.250 0.125
Sb1 Sb 0.000 0.000 0.500
N1 N 0.000 0.000 0.000
```

---

2.
## HAu2Cl6 (PBE)

Data for HAu2Cl6 after structural relaxation.

```
data_HAu2Cl6
_cell_length_a 7.701
_cell_length_b 7.732
_cell_length_c 9.164
_cell_angle_alpha 87.37
_cell_angle_beta 87.83
_cell_angle_gamma 73.26
_space_group_name_H-M_alt 'P -1'
_space_group_IT_number 2
loop_
_space_group_symop_operation_xyz
'x,y,z'
'-x,-y,-z'
loop_
_atom_site_label
_atom_site_type_symbol
_atom_site_fract_x
_atom_site_fract_y
_atom_site_fract_z
H1 H 0.182 0.318 0.250
Au1 Au 0.119 0.867 0.740
Au2 Au 0.367 0.619 0.240
Cl1 Cl 0.060 0.815 0.272
Cl2 Cl 0.102 0.238 0.123
Cl3 Cl 0.261 0.399 0.377
Cl4 Cl 0.315 0.561 0.772
Cl5 Cl 0.321 0.969 0.594
Cl6 Cl 0.468 0.821 0.093
```

---

Record-wise N(E_F) values, in states/eV/atom: 0.000 0.403
Record-wise relative energy among the computed polymorphs values, in eV/atom: 0.0940 0.0000